# 1
DFT (GGA+U) results for crystalline PrCo3Cu4O12 at its relaxed geometry.

Cell lengths 6.384, 6.384, 6.384 Å; angles 109.47, 109.47, 109.47 degrees
Site moments in Bohr magnetons follow the coordinates.
Atoms (fractional coordinates):
Co  0.500  0.500  0.000  2.08
O  0.173  0.485  0.312  -0.01
O  0.688  0.173  0.861  -0.01
Cu  0.000  0.000  0.500  -0.05
O  0.139  0.312  0.827  -0.01
Co  0.000  0.500  0.500  2.08
O  0.312  0.827  0.139  -0.01
O  0.515  0.688  0.827  -0.01
O  0.312  0.173  0.485  -0.01
Cu  0.500  0.500  0.500  -0.05
O  0.861  0.688  0.173  -0.01
O  0.485  0.312  0.173  -0.01
Co  0.500  0.000  0.500  2.08
O  0.173  0.861  0.688  -0.01
O  0.827  0.515  0.688  -0.01
Pr  0.000  0.000  0.000  0.03
O  0.827  0.139  0.312  -0.01
Cu  0.000  0.500  0.000  -0.05
Cu  0.500  0.000  0.000  -0.05
O  0.688  0.827  0.515  -0.01

## Properties
Calculated volume = 10.0 Å³ per atom
DFT total energy = -115.19 eV per cell
Fermi-level density of states = 6.43 states/eV/cell
Magnetization = 6.1 μB/f.u.
SG = Im-3, No. 204

# 2
DFT (GGA+U) results for crystalline Pr2CoCu2O6 at its relaxed geometry.

Cell lengths 5.731, 5.731, 5.931 Å; angles 61.11, 61.11, 60.00 degrees
Site moments in Bohr magnetons follow the coordinates.
Atoms (fractional coordinates):
O  0.205  0.768  0.260  0.08
O  0.768  0.205  0.260  0.08
Co  0.000  0.000  0.000  0.05
Cu  0.587  0.587  0.240  0.27
Pr  0.215  0.215  0.355  -0.01
O  0.232  0.232  0.740  0.08
O  0.768  0.768  0.260  0.08
O  0.795  0.232  0.740  0.08
Pr  0.785  0.785  0.645  -0.01
Cu  0.413  0.413  0.760  0.27
O  0.232  0.795  0.740  0.08

## Properties
Calculated volume = 12.7 Å³ per atom
DFT total energy = -70.32 eV per cell
Fermi-level density of states = 8.31 states/eV/cell
Magnetization = 1.1 μB/f.u.
SG = R-3m, No. 166

Number 1 is which compound?
PrCo3Cu4O12